16
Lattice="7.488 0.000 0.000 0.000 9.100 0.000 0.000 0.000 4.542" Properties=species:S:1:pos:R:3 comment="Sc5Zn3 GGA-PBEsol relaxed" rho_g_cm3=4.517 energy_ev_per_atom=-4.923 total_magnetization_mub_per_fu=0.01 formation_enthalpy_0k_ev_per_fu=-1.61 sg="Cmmm, No. 65" n_ef_per_ev_cell=20.063 pbc="T T T"
Sc 0.000 0.000 0.000
Sc 1.634 4.550 2.271
Sc 1.872 2.275 0.000
Sc 1.872 6.825 0.000
Sc 2.110 0.000 2.271
Sc 3.744 4.550 0.000
Sc 5.378 0.000 2.271
Sc 5.616 2.275 0.000
Sc 5.616 6.825 0.000
Sc 5.854 4.550 2.271
Zn 0.000 2.022 2.271
Zn 0.000 4.550 0.000
Zn 0.000 7.078 2.271
Zn 3.744 0.000 0.000
Zn 3.744 2.528 2.271
Zn 3.744 6.572 2.271